Entry 1:
LiAs2Pb | GGA-PBE | optimized geometry

Results
DOS(E_F): 0.25 states/eV/atom
ΔH_f (0 K): -0.06 eV per atom
space group: P4/mmm

extended XYZ file:
```
4
Lattice="4.478 0.000 0.000 0.000 4.479 0.000 0.000 0.000 4.374" Properties=species:S:1:pos:R:3 pbc="T T T"
As 0.000 0.000 0.000
Li 2.239 0.000 2.187
Pb 0.000 2.239 2.187
As 2.239 2.239 0.000
```

Entry 2:
LiAs2Pb | GGA-PBE | optimized geometry

Results
DOS(E_F): 0.79 states/eV/atom
ΔH_f (0 K): 0.07 eV per atom
space group: I-42d

extended XYZ file:
```
8
Lattice="6.261 0.000 0.000 0.000 6.261 0.000 3.131 3.131 5.746" Properties=species:S:1:pos:R:3 pbc="T T T"
As 4.542 1.565 1.437
Li 3.131 3.131 0.000
Pb 0.000 0.000 0.000
As 1.719 4.696 1.437
As 4.696 4.850 4.310
Li 3.131 6.261 2.873
As 7.826 7.672 4.310
Pb 6.261 3.131 2.873
```

What is the ΔH_f (0 K) in the second record? 0.07 eV per atom